# SrLa2Ho, relaxed, DFT GGA-PBE
data_SrLa2Ho
_chemical_formula_sum 'Sr1 La2 Ho1'
_symmetry_space_group_name_H-M 'P 4/m m m'
_symmetry_Int_Tables_number 123
_symmetry_space_group_name_Hall '-P 4 2'
_cell_length_a 4.206
_cell_length_b 4.206
_cell_length_c 9.095
_cell_angle_alpha 90.00
_cell_angle_beta 90.00
_cell_angle_gamma 90.00
loop_
_atom_site_label
_atom_site_fract_x
_atom_site_fract_y
_atom_site_fract_z
Sr1 0.000 0.000 0.000
La1 0.500 0.500 0.294
Ho1 0.000 0.000 0.500
# * crystal system: tetragonal
# * ΔH_f (0 K): 43 kJ/mol of formula units
# * final energy: -3.92 eV/atom



# SrLaHo2, relaxed, DFT GGA-PBE
data_SrLaHo2
_chemical_formula_sum 'Sr1 La1 Ho2'
_symmetry_space_group_name_H-M 'P 4/m m m'
_symmetry_Int_Tables_number 123
_symmetry_space_group_name_Hall '-P 4 2'
_cell_length_a 3.746
_cell_length_b 3.746
_cell_length_c 10.556
_cell_angle_alpha 90.00
_cell_angle_beta 90.00
_cell_angle_gamma 90.00
loop_
_atom_site_label
_atom_site_fract_x
_atom_site_fract_y
_atom_site_fract_z
Sr1 0.000 0.000 0.000
La1 0.000 0.000 0.500
Ho1 0.500 0.500 0.274
# * crystal system: tetragonal
# * ΔH_f (0 K): 54 kJ/mol of formula units
# * final energy: -3.80 eV/atom



# SrLa2Ho, relaxed, DFT GGA-PBE
data_SrLa2Ho
_chemical_formula_sum 'Sr4 La8 Ho4'
_symmetry_space_group_name_H-M 'F m -3 m'
_symmetry_Int_Tables_number 225
_symmetry_space_group_name_Hall '-F 4 2 3'
_cell_length_a 8.524
_cell_length_b 8.524
_cell_length_c 8.524
_cell_angle_alpha 90.00
_cell_angle_beta 90.00
_cell_angle_gamma 90.00
loop_
_atom_site_label
_atom_site_fract_x
_atom_site_fract_y
_atom_site_fract_z
Sr1 0.000 0.000 0.000
La1 0.250 0.250 0.250
Ho1 0.000 0.000 0.500
# * crystal system: cubic
# * ΔH_f (0 K): 73 kJ/mol of formula units
# * final energy: -3.84 eV/atom



# SrLaHo2, relaxed, DFT GGA-PBE
data_SrLaHo2
_chemical_formula_sum 'Sr3 La3 Ho6'
_symmetry_space_group_name_H-M 'R -3 m'
_symmetry_Int_Tables_number 166
_symmetry_space_group_name_Hall '-R 3 2"'
_cell_length_a 3.6384
_cell_length_b 3.6384
_cell_length_c 38.6189
_cell_angle_alpha 90.00
_cell_angle_beta 90.00
_cell_angle_gamma 120.00
loop_
_atom_site_label
_atom_site_fract_x
_atom_site_fract_y
_atom_site_fract_z
Sr1 0.0000 0.0000 0.0000
La1 0.0000 0.0000 0.5000
Ho1 0.0000 0.0000 0.0916
# * crystal system: trigonal
# * ΔH_f (0 K): 90 kJ/mol of formula units
# * final energy: -3.71 eV/atom



# SrLaHo, relaxed, DFT GGA-PBE
data_SrLaHo
_chemical_formula_sum 'Sr2 La2 Ho2'
_symmetry_space_group_name_H-M 'I 4 m m'
_symmetry_Int_Tables_number 107
_symmetry_space_group_name_Hall 'I 4 -2'
_cell_length_a 3.814
_cell_length_b 3.814
_cell_length_c 16.245
_cell_angle_alpha 90.00
_cell_angle_beta 90.00
_cell_angle_gamma 90.00
loop_
_atom_site_label
_atom_site_fract_x
_atom_site_fract_y
_atom_site_fract_z
Sr1 0.000 0.000 0.000
La1 0.000 0.000 0.686
Ho1 0.000 0.000 0.326
# * crystal system: tetragonal
# * ΔH_f (0 K): 33 kJ/mol of formula units
# * final energy: -3.62 eV/atom



# SrLa2Ho, relaxed, DFT GGA-PBE
data_SrLa2Ho
_chemical_formula_sum 'Sr3 La6 Ho3'
_symmetry_space_group_name_H-M 'R -3 m'
_symmetry_Int_Tables_number 166
_symmetry_space_group_name_Hall '-R 3 2"'
_cell_length_a 3.7019
_cell_length_b 3.7019
_cell_length_c 39.6225
_cell_angle_alpha 90.00
_cell_angle_beta 90.00
_cell_angle_gamma 120.00
loop_
_atom_site_label
_atom_site_fract_x
_atom_site_fract_y
_atom_site_fract_z
Sr1 0.0000 0.0000 0.0000
La1 0.0000 0.0000 0.0935
Ho1 0.0000 0.0000 0.5000
# * crystal system: trigonal
# * ΔH_f (0 K): 66 kJ/mol of formula units
# * final energy: -3.86 eV/atom



# SrLaHo2, relaxed, DFT GGA-PBE
data_SrLaHo2
_chemical_formula_sum 'Sr3 La3 Ho6'
_symmetry_space_group_name_H-M 'R 3 m'
_symmetry_Int_Tables_number 160
_symmetry_space_group_name_Hall 'R 3 -2"'
_cell_length_a 3.7120
_cell_length_b 3.7120
_cell_length_c 36.5643
_cell_angle_alpha 90.00
_cell_angle_beta 90.00
_cell_angle_gamma 120.00
loop_
_atom_site_label
_atom_site_fract_x
_atom_site_fract_y
_atom_site_fract_z
Sr1 0.0000 0.0000 0.0000
La1 0.0000 0.0000 0.8344
Ho1 0.0000 0.0000 0.2456
Ho2 0.0000 0.0000 0.4219
# * crystal system: trigonal
# * ΔH_f (0 K): 49 kJ/mol of formula units
# * final energy: -3.82 eV/atom



# SrLa2Ho, relaxed, DFT GGA-PBE
data_SrLa2Ho
_chemical_formula_sum 'Sr3 La6 Ho3'
_symmetry_space_group_name_H-M 'R 3 m'
_symmetry_Int_Tables_number 160
_symmetry_space_group_name_Hall 'R 3 -2"'
_cell_length_a 3.7702
_cell_length_b 3.7702
_cell_length_c 37.6693
_cell_angle_alpha 90.00
_cell_angle_beta 90.00
_cell_angle_gamma 120.00
loop_
_atom_site_label
_atom_site_fract_x
_atom_site_fract_y
_atom_site_fract_z
Sr1 0.0000 0.0000 0.0000
La1 0.0000 0.0000 0.5764
La2 0.0000 0.0000 0.7578
Ho1 0.0000 0.0000 0.1670
# * crystal system: trigonal
# * ΔH_f (0 K): 35 kJ/mol of formula units
# * final energy: -3.94 eV/atom



# SrLa2Ho, relaxed, DFT GGA-PBE
data_SrLa2Ho
_chemical_formula_sum 'Sr1 La2 Ho1'
_symmetry_space_group_name_H-M 'P 4/m m m'
_symmetry_Int_Tables_number 123
_symmetry_space_group_name_Hall '-P 4 2'
_cell_length_a 5.378
_cell_length_b 5.378
_cell_length_c 5.296
_cell_angle_alpha 90.00
_cell_angle_beta 90.00
_cell_angle_gamma 90.00
loop_
_atom_site_label
_atom_site_fract_x
_atom_site_fract_y
_atom_site_fract_z
Sr1 0.000 0.000 0.000
La1 0.000 0.500 0.500
Ho1 0.500 0.500 0.000
# * crystal system: tetragonal
# * ΔH_f (0 K): 65 kJ/mol of formula units
# * final energy: -3.86 eV/atom



# SrLaHo, relaxed, DFT GGA-PBE
data_SrLaHo
_chemical_formula_sum 'Sr4 La4 Ho4'
_symmetry_space_group_name_H-M 'C 1 2/m 1'
_symmetry_Int_Tables_number 12
_symmetry_space_group_name_Hall '-C 2y'
_cell_length_a 11.975
_cell_length_b 3.589
_cell_length_c 12.570
_cell_angle_alpha 90.00
_cell_angle_beta 117.12
_cell_angle_gamma 90.00
loop_
_atom_site_label
_atom_site_fract_x
_atom_site_fract_y
_atom_site_fract_z
Sr1 0.080 0.000 0.399
La1 0.228 0.500 0.213
Ho1 0.106 0.500 0.917
# * crystal system: monoclinic
# * ΔH_f (0 K): 73 kJ/mol of formula units
# * final energy: -3.48 eV/atom



# Sr3La2HoTe6, relaxed, DFT GGA-PBE
data_Sr3La2HoTe6
_chemical_formula_sum 'Sr6 La4 Ho2 Te12'
_symmetry_space_group_name_H-M 'C 1 2/m 1'
_symmetry_Int_Tables_number 12
_symmetry_space_group_name_Hall '-C 2y'
_cell_length_a 20.206
_cell_length_b 4.566
_cell_length_c 9.299
_cell_angle_alpha 90.00
_cell_angle_beta 104.55
_cell_angle_gamma 90.00
loop_
_atom_site_label
_atom_site_fract_x
_atom_site_fract_y
_atom_site_fract_z
Sr1 0.000 0.000 0.000
Sr2 0.169 0.500 0.335
La1 0.168 0.500 0.837
Ho1 0.000 0.000 0.500
Te1 0.000 0.500 0.267
Te2 0.160 0.000 0.583
Te3 0.166 0.000 0.083
# * crystal system: monoclinic
# * final energy: -4.77 eV/atom
# * uncorrected formation energy: -1.575 eV/atom



# Sr3La3HoTe8, relaxed, DFT GGA-PBE
data_Sr3La3HoTe8
_chemical_formula_sum 'Sr9 La9 Ho3 Te24'
_symmetry_space_group_name_H-M 'R -3 m'
_symmetry_Int_Tables_number 166
_symmetry_space_group_name_Hall '-R 3 2"'
_cell_length_a 9.1693
_cell_length_b 9.1693
_cell_length_c 23.1114
_cell_angle_alpha 90.00
_cell_angle_beta 90.00
_cell_angle_gamma 120.00
loop_
_atom_site_label
_atom_site_fract_x
_atom_site_fract_y
_atom_site_fract_z
Sr1 0.0000 0.5000 0.0000
La1 0.0000 0.5000 0.5000
Ho1 0.0000 0.0000 0.5000
Te1 0.0000 0.0000 0.2484
Te2 0.0102 0.5051 0.2448
# * crystal system: trigonal
# * final energy: -4.91 eV/atom
# * uncorrected formation energy: -1.605 eV/atom



# LaHo2Ta, relaxed, DFT GGA-PBE
data_LaHo2Ta
_chemical_formula_sum 'La3 Ho6 Ta3'
_symmetry_space_group_name_H-M 'R -3 m'
_symmetry_Int_Tables_number 166
_symmetry_space_group_name_Hall '-R 3 2"'
_cell_length_a 3.2910
_cell_length_b 3.2910
_cell_length_c 35.6409
_cell_angle_alpha 90.00
_cell_angle_beta 90.00
_cell_angle_gamma 120.00
loop_
_atom_site_label
_atom_site_fract_x
_atom_site_fract_y
_atom_site_fract_z
La1 0.0000 0.0000 0.0000
Ho1 0.0000 0.0000 0.4184
Ta1 0.0000 0.0000 0.5000
# * crystal system: trigonal
# * ΔH_f (0 K): 244 kJ/mol of formula units
# * final energy: -5.85 eV/atom



# La2HoTa, relaxed, DFT GGA-PBE
data_La2HoTa
_chemical_formula_sum 'La6 Ho3 Ta3'
_symmetry_space_group_name_H-M 'R -3 m'
_symmetry_Int_Tables_number 166
_symmetry_space_group_name_Hall '-R 3 2"'
_cell_length_a 3.4341
_cell_length_b 3.4341
_cell_length_c 34.0336
_cell_angle_alpha 90.00
_cell_angle_beta 90.00
_cell_angle_gamma 120.00
loop_
_atom_site_label
_atom_site_fract_x
_atom_site_fract_y
_atom_site_fract_z
La1 0.0000 0.0000 0.2417
Ho1 0.0000 0.0000 0.0000
Ta1 0.0000 0.0000 0.5000
# * crystal system: trigonal
# * ΔH_f (0 K): 172 kJ/mol of formula units
# * final energy: -6.13 eV/atom



# La4Tb3Ho, relaxed, DFT GGA-PBE
data_La4Tb3Ho
_chemical_formula_sum 'La8 Tb6 Ho2'
_symmetry_space_group_name_H-M 'P m n 21'
_symmetry_Int_Tables_number 31
_symmetry_space_group_name_Hall 'P 2ac -2'
_cell_length_a 11.736
_cell_length_b 7.360
_cell_length_c 6.398
_cell_angle_alpha 90.00
_cell_angle_beta 90.00
_cell_angle_gamma 90.00
loop_
_atom_site_label
_atom_site_fract_x
_atom_site_fract_y
_atom_site_fract_z
La1 0.000 0.126 0.000
La2 0.000 0.873 0.496
La3 0.249 0.872 0.825
Tb1 0.000 0.378 0.496
Tb2 0.250 0.379 0.826
Ho1 0.000 0.619 0.996
# * crystal system: orthorhombic
# * ΔH_f (0 K): 26 kJ/mol of formula units
# * final energy: -4.74 eV/atom



# La2Tb7Ho2, relaxed, DFT GGA-PBE
data_La2Tb7Ho2
_chemical_formula_sum 'La4 Tb14 Ho4'
_symmetry_space_group_name_H-M 'C m m m'
_symmetry_Int_Tables_number 65
_symmetry_space_group_name_Hall '-C 2 2'
_cell_length_a 6.577
_cell_length_b 12.200
_cell_length_c 9.423
_cell_angle_alpha 90.00
_cell_angle_beta 90.00
_cell_angle_gamma 90.00
loop_
_atom_site_label
_atom_site_fract_x
_atom_site_fract_y
_atom_site_fract_z
La1 0.249 0.000 0.000
Tb1 0.000 0.000 0.319
Tb2 0.000 0.500 0.500
Tb3 0.250 0.250 0.185
Ho1 0.000 0.227 0.500
# * crystal system: orthorhombic
# * ΔH_f (0 K): 360 kJ/mol of formula units
# * final energy: -4.34 eV/atom



# La7Tb3Ho, relaxed, DFT GGA-PBE
data_La7Tb3Ho
_chemical_formula_sum 'La14 Tb6 Ho2'
_symmetry_space_group_name_H-M 'I m m m'
_symmetry_Int_Tables_number 71
_symmetry_space_group_name_Hall '-I 2 2'
_cell_length_a 6.024
_cell_length_b 11.439
_cell_length_c 11.576
_cell_angle_alpha 90.00
_cell_angle_beta 90.00
_cell_angle_gamma 90.00
loop_
_atom_site_label
_atom_site_fract_x
_atom_site_fract_y
_atom_site_fract_z
La1 0.000 0.000 0.000
La2 0.000 0.211 0.500
La3 0.000 0.306 0.211
Tb1 0.000 0.000 0.295
Tb2 0.000 0.500 0.000
Ho1 0.000 0.500 0.500
# * crystal system: orthorhombic
# * ΔH_f (0 K): 227 kJ/mol of formula units
# * final energy: -4.60 eV/atom



# La3Tb2Ho3, relaxed, DFT GGA-PBE
data_La3Tb2Ho3
_chemical_formula_sum 'La6 Tb4 Ho6'
_symmetry_space_group_name_H-M 'I m m m'
_symmetry_Int_Tables_number 71
_symmetry_space_group_name_Hall '-I 2 2'
_cell_length_a 5.048
_cell_length_b 5.152
_cell_length_c 20.633
_cell_angle_alpha 90.00
_cell_angle_beta 90.00
_cell_angle_gamma 90.00
loop_
_atom_site_label
_atom_site_fract_x
_atom_site_fract_y
_atom_site_fract_z
La1 0.000 0.000 0.000
La2 0.000 0.500 0.124
Tb1 0.000 0.000 0.249
Ho1 0.000 0.000 0.500
Ho2 0.000 0.500 0.372
# * crystal system: orthorhombic
# * ΔH_f (0 K): 25 kJ/mol of formula units
# * final energy: -4.69 eV/atom



# LaTb5Ho, relaxed, DFT GGA-PBE
data_LaTb5Ho
_chemical_formula_sum 'La2 Tb10 Ho2'
_symmetry_space_group_name_H-M 'I m m m'
_symmetry_Int_Tables_number 71
_symmetry_space_group_name_Hall '-I 2 2'
_cell_length_a 5.799
_cell_length_b 8.668
_cell_length_c 11.878
_cell_angle_alpha 90.00
_cell_angle_beta 90.00
_cell_angle_gamma 90.00
loop_
_atom_site_label
_atom_site_fract_x
_atom_site_fract_y
_atom_site_fract_z
La1 0.000 0.000 0.000
Tb1 0.000 0.000 0.252
Tb2 0.000 0.320 0.500
Tb3 0.000 0.500 0.000
Ho1 0.000 0.000 0.500
# * crystal system: orthorhombic
# * ΔH_f (0 K): 730 kJ/mol of formula units
# * final energy: -3.58 eV/atom



# LaTb14Ho, relaxed, DFT GGA-PBE
data_LaTb14Ho
_chemical_formula_sum 'La2 Tb28 Ho2'
_symmetry_space_group_name_H-M 'A m m 2'
_symmetry_Int_Tables_number 38
_symmetry_space_group_name_Hall 'A 2 -2'
_cell_length_a 11.553
_cell_length_b 7.171
_cell_length_c 12.422
_cell_angle_alpha 90.00
_cell_angle_beta 90.00
_cell_angle_gamma 90.00
loop_
_atom_site_label
_atom_site_fract_x
_atom_site_fract_y
_atom_site_fract_z
La1 0.000 0.000 0.000
Tb1 0.000 0.250 0.250
Tb2 0.249 0.000 0.334
Tb3 0.252 0.249 0.584
Tb4 0.253 0.000 0.833
Tb5 0.500 0.000 0.167
Tb6 0.500 0.000 0.666
Tb7 0.500 0.249 0.416
Ho1 0.000 0.000 0.501
# * crystal system: orthorhombic
# * ΔH_f (0 K): 6 kJ/mol of formula units
# * final energy: -4.64 eV/atom